# 1
Crystalline SnPtPb at its relaxed geometry. Source: the Alexandria database, functional GGA-PBE.

abc: 4.5012 4.5012 9.2496
angles: 75.92 75.92 60.00
With the nearest neighbours (Å) after each atom.
Fractional coordinates of all 6 atoms:
Pb (0.6208, 0.6208, 0.1375)  3 Pt 2.99
Sn (0.2058, 0.2058, 0.3825)  4 Pt 2.69-2.77
Pb (0.3792, 0.3792, 0.8625)  3 Pt 2.99
Pt (0.8983, 0.8983, 0.3050)  4 Sn 2.69-2.77, 3 Pb 2.99
Pt (0.1017, 0.1017, 0.6950)  4 Sn 2.69-2.77, 3 Pb 2.99
Sn (0.7942, 0.7942, 0.6175)  4 Pt 2.69-2.77

* ΔE to the lowest computed polymorph: 0 kJ/mol of formula units
* symmetry: R-3m
* formation energy from the elements: -0.318 eV/atom

# 2
Crystalline Ac2Rh2Pb3 at its relaxed geometry. Source: the Alexandria database, functional GGA-PBE.

abc: 4.0559 4.4264 11.1765
angles: 101.42 90.00 90.00
With the nearest neighbours (Å) after each atom.
Fractional coordinates of all 7 atoms:
Rh (0.5000, 0.7076, 0.4152)  1 Pb 2.88, 2 Rh 2.89, 4 Ac 3.09
Pb (0.0000, 0.0000, 0.0000)  8 Pb 3.44, 2 Ac 3.82
Rh (0.5000, 0.2924, 0.5848)  1 Pb 2.88, 2 Rh 2.89, 4 Ac 3.09
Ac (0.0000, 0.8255, 0.6511)  6 Rh 3.09-3.28
Ac (0.0000, 0.1745, 0.3489)  6 Rh 3.09-3.28
Pb (0.5000, 0.4237, 0.8474)  1 Rh 2.88
Pb (0.5000, 0.5763, 0.1526)  1 Rh 2.88

* ΔE to the lowest computed polymorph: 0 kJ/mol of formula units
* symmetry: Cmmm
* formation energy from the elements: -0.458 eV/atom

# 3
Crystalline Li2AsS4 at its relaxed geometry. Source: the Alexandria database, functional GGA-PBE.

abc: 3.5101 6.2004 7.0070
angles: 115.98 104.51 90.00
With the nearest neighbours (Å) after each atom.
Fractional coordinates of all 7 atoms:
Li (0.3015, 0.3494, 0.6030)  5 S 2.47-2.59
S (0.9344, 0.3358, 0.8689)  1 S 2.01
S (0.0656, 0.6642, 0.1311)  1 S 2.01
S (0.6447, 0.2132, 0.2894)  3 Li 2.47-2.59, 2 As 2.52
S (0.3553, 0.7868, 0.7106)  3 Li 2.47-2.59, 2 As 2.52
As (0.0000, 0.0000, 0.0000)  6 S 2.52-2.61
Li (0.6985, 0.6506, 0.3970)  5 S 2.47-2.59

* raw formation energy: -513 meV per atom
* symmetry: C2/m

# 4
Crystalline BaYGe2B at its relaxed geometry. Source: the Alexandria database, functional GGA-PBE.

abc: 5.3673 6.5129 5.3673
angles: 90.00 90.00 90.00
With the nearest neighbours (Å) after each atom.
Fractional coordinates of all 5 atoms:
Ge (0.5000, 0.0000, 0.0000)  2 Y 2.68
Ba (0.0000, 0.5000, 0.0000)  2 Y 3.26
B (0.5000, 0.5000, 0.5000)  4 Ba 3.80, 8 Ge 4.22
Ge (0.0000, 0.0000, 0.5000)  2 Y 2.68
Y (0.0000, 0.0000, 0.0000)  4 Ge 2.68

* symmetry: P4/mmm
* formation energy from the elements: 1.331 eV/atom

# 5
Crystalline Ho4CdHg5 at its relaxed geometry. Source: the Alexandria database, functional GGA-PBE.

abc: 3.7006 3.7006 18.1529
angles: 90.00 90.00 90.00
With the nearest neighbours (Å) after each atom.
Fractional coordinates of all 10 atoms:
Ho (0.0000, 0.0000, 0.3977)  8 Hg 3.18-3.21
Hg (0.5000, 0.5000, 0.2978)  8 Ho 3.18-3.24
Hg (0.5000, 0.5000, 0.5000)  8 Ho 3.21
Ho (0.0000, 0.0000, 0.8070)  8 Hg 3.15-3.24, 1 Cd 3.50
Cd (0.0000, 0.0000, 0.0000)  8 Hg 3.14, 2 Ho 3.50
Ho (0.0000, 0.0000, 0.1930)  8 Hg 3.15-3.24, 1 Cd 3.50
Hg (0.5000, 0.5000, 0.7022)  8 Ho 3.18-3.24
Hg (0.5000, 0.5000, 0.0961)  4 Cd 3.14, 4 Ho 3.15, 1 Hg 3.49
Hg (0.5000, 0.5000, 0.9039)  4 Cd 3.14, 4 Ho 3.15, 1 Hg 3.49
Ho (0.0000, 0.0000, 0.6023)  8 Hg 3.18-3.21

* symmetry: P4/mmm
* formation energy from the elements: -0.400 eV/atom

# 6
Crystalline Li3DySn2 at its relaxed geometry. Source: the Alexandria database, functional GGA-PBE.

abc: 4.6412 7.3675 8.6544
angles: 66.94 74.45 71.64
With the nearest neighbours (Å) after each atom.
Fractional coordinates of all 12 atoms:
Sn (0.5457, 0.0978, 0.8109)  4 Li 2.68-2.92, 1 Sn 2.99
Li (0.4040, 0.5053, 0.6867)  1 Li 2.62, 3 Sn 2.68-2.75
Li (0.9488, 0.7218, 0.3806)  3 Sn 2.84-2.86, 6 Li 2.93-3.14
Sn (0.4543, 0.9022, 0.1891)  4 Li 2.68-2.92, 1 Sn 2.99
Li (0.2797, 0.9007, 0.5400)  4 Li 2.62-2.93, 3 Sn 2.90-2.92
Sn (0.2114, 0.3052, 0.2720)  6 Li 2.75-2.96
Dy (0.8604, 0.2581, 0.0212)  7 Sn 3.21-3.35, 3 Li 3.31-3.45
Li (0.5960, 0.4947, 0.3133)  1 Li 2.62, 3 Sn 2.68-2.75
Sn (0.7886, 0.6948, 0.7280)  6 Li 2.75-2.96
Dy (0.1396, 0.7419, 0.9788)  7 Sn 3.21-3.35, 3 Li 3.31-3.45
Li (0.7203, 0.0993, 0.4600)  4 Li 2.62-2.93, 3 Sn 2.90-2.92
Li (0.0512, 0.2782, 0.6194)  3 Sn 2.84-2.86, 6 Li 2.93-3.14

* symmetry: C2/m
* formation energy from the elements: -0.467 eV/atom

# 7
Crystalline Rb4Pr at its relaxed geometry. Source: the Alexandria database, functional GGA-PBE.

abc: 7.5984 7.5984 7.5984
angles: 90.00 90.00 90.00
With the nearest neighbours (Å) after each atom.
Fractional coordinates of all 5 atoms:
Pr (0.5000, 0.5000, 0.5000)  6 Rb 3.80
Rb (0.5000, 0.0000, 0.5000)  2 Pr 3.80
Rb (0.0000, 0.5000, 0.5000)  2 Pr 3.80
Rb (0.0000, 0.0000, 0.0000)  12 Rb 5.37
Rb (0.5000, 0.5000, 0.0000)  2 Pr 3.80

* symmetry: Pm-3m
* formation energy from the elements: 0.650 eV/atom

# 8
Crystalline P2IrRu at its relaxed geometry. Source: the Alexandria database, functional GGA-PBE.

abc: 7.5162 7.5162 7.5162
angles: 23.05 23.05 23.05
With the nearest neighbours (Å) after each atom.
Fractional coordinates of all 4 atoms:
Ru (0.5133, 0.5133, 0.5133)  3 P 2.30
P (0.2488, 0.2488, 0.2488)  3 Ru 2.30, 3 P 2.54
P (0.0001, 0.0001, 0.0001)  3 Ir 2.33, 3 P 2.54
Ir (0.7377, 0.7377, 0.7377)  3 P 2.33

* ΔE to the lowest computed polymorph: 133 kJ/mol of formula units
* symmetry: R3m
* formation energy from the elements: -0.119 eV/atom

# 9
Crystalline Si2W2Au at its relaxed geometry. Source: the Alexandria database, functional GGA-PBE.

abc: 6.9459 6.9459 3.1784
angles: 90.00 90.00 90.00
With the nearest neighbours (Å) after each atom.
Fractional coordinates of all 10 atoms:
W (0.8514, 0.3514, 0.5000)  6 Si 2.56-2.61
Si (0.8592, 0.6408, 0.0000)  6 W 2.56-2.61, 2 Au 2.68, 1 Si 2.77
Si (0.3592, 0.8592, 0.0000)  6 W 2.56-2.61, 2 Au 2.68, 1 Si 2.77
W (0.6486, 0.8514, 0.5000)  6 Si 2.56-2.61
W (0.3514, 0.1486, 0.5000)  6 Si 2.56-2.61
Si (0.6408, 0.1408, 0.0000)  6 W 2.56-2.61, 2 Au 2.68, 1 Si 2.77
Au (0.0000, 0.0000, 0.0000)  4 Si 2.68
Au (0.5000, 0.5000, 0.0000)  4 Si 2.68
Si (0.1408, 0.3592, 0.0000)  6 W 2.56-2.61, 2 Au 2.68, 1 Si 2.77
W (0.1486, 0.6486, 0.5000)  6 Si 2.56-2.61

* raw formation energy: 209 meV per atom
* symmetry: P4/mbm

# 10
Crystalline EuTmIn4 at its relaxed geometry. Source: the Alexandria database, functional GGA-PBE.

abc: 6.0687 6.0687 6.0687
angles: 60.00 60.00 60.00
With the nearest neighbours (Å) after each atom.
Fractional coordinates of all 6 atoms:
Eu (0.2500, 0.2500, 0.2500)  12 In 3.56, 4 Tm 3.72
In (0.6251, 0.6251, 0.1246)  6 In 3.03-3.04
In (0.6251, 0.6251, 0.6251)  6 In 3.03-3.04
In (0.1246, 0.6251, 0.6251)  6 In 3.03-3.04
In (0.6251, 0.1246, 0.6251)  6 In 3.03-3.04
Tm (0.0000, 0.0000, 0.0000)  12 In 3.56, 4 Eu 3.72

* symmetry: F-43m
* formation energy from the elements: -0.315 eV/atom

Final energy, respectively: -29.410 -37.248 -28.578 -17.645 -24.731 -42.302 -5.397 -29.431 -77.972 -27.588 eV per cell.